[1]
Entry from the Alexandria database: an optimized crystal structure of LiZn2Cu7 (PBE).

It has space group Cmmm (No. 65), with a = 4.808 Å, b = 21.364 Å, c = 2.545 Å, α = 90.00°, β = 90.00° and γ = 90.00°. The inequivalent atoms are Li at (0.000, 0.000, 0.000), Zn at (0.000, 0.293, 0.500), Cu at (0.000, 0.188, 0.000), Cu at (0.000, 0.500, 0.500) and Cu at (0.250, 0.100, 0.500).

As for the energy relative to the elements: 0.049 eV/atom. Its total energy is -3.26 eV/atom. As for the spin magnetization: 0.00 μB/atom.

[2]
Entry from the Alexandria database: an optimized crystal structure of LaNdCu2Se4 (PBE).

It has space group I222 (No. 23), with a = 6.952 Å, b = 7.076 Å, c = 7.940 Å, α = 90.00°, β = 90.00° and γ = 90.00°. The inequivalent atoms are La at (0.000, 0.000, 0.000), Nd at (0.000, 0.000, 0.500), Cu at (0.000, 0.500, 0.161) and Se at (0.241, 0.273, 0.790).

The formation energy (no corrections) comes out at -1139 meV/atom. Its total energy is -5.12 eV/atom. As for the spin magnetization: 0.00 μB/atom.

[3]
Entry from the Alexandria database: an optimized crystal structure of BaNi2W (PBE).

It has space group P4/mmm (No. 123), with a = 3.180 Å, b = 3.180 Å, c = 7.505 Å, α = 90.00°, β = 90.00° and γ = 90.00°. The inequivalent atoms are Ba at (0.000, 0.000, 0.000), Ni at (0.500, 0.500, 0.336) and W at (0.000, 0.000, 0.500).

The energy above the lowest structure with this stoichiometry comes out at 11.7 kJ/mol of atoms. As for the energy relative to the elements: 0.384 eV/atom. Its total energy is -6.23 eV/atom. As for the spin magnetization: 0.07 μB/atom.

[4]
Entry from the Alexandria database: an optimized crystal structure of LaTbEuGd (PBE).

It has space group F-43m (No. 216), with a = 8.262 Å, b = 8.262 Å, c = 8.262 Å, α = 90.00°, β = 90.00° and γ = 90.00°. The inequivalent atoms are La at (0.000, 0.000, 0.000), Tb at (0.000, 0.000, 0.500), Eu at (0.250, 0.250, 0.250) and Gd at (0.250, 0.250, 0.750).

As for the energy relative to the elements: 0.125 eV/atom. Its total energy is -8.35 eV/atom. As for the spin magnetization: 3.88 μB/atom.

[5]
Entry from the Alexandria database: an optimized crystal structure of MoPt2 (PBE).

It has space group P-3m1 (No. 164), with a = 3.5713 Å, b = 3.5713 Å, c = 4.9724 Å, α = 90.00°, β = 90.00° and γ = 120.00°. The inequivalent atoms are Mo at (0.0000, 0.0000, 0.0000) and Pt at (0.3333, 0.6667, 0.3045).

The energy above the lowest structure with this stoichiometry comes out at 73.0 kJ/mol of atoms. As for the energy relative to the elements: 0.377 eV/atom. Its total energy is -7.26 eV/atom. As for the spin magnetization: 0.00 μB/atom.

[6]
Entry from the Alexandria database: an optimized crystal structure of Hf2ZrTeRh (PBE).

It has space group P4/mmm (No. 123), with a = 5.291 Å, b = 5.291 Å, c = 4.673 Å, α = 90.00°, β = 90.00° and γ = 90.00°. The inequivalent atoms are Hf at (0.000, 0.500, 0.000), Zr at (0.000, 0.000, 0.000), Te at (0.500, 0.500, 0.500) and Rh at (0.000, 0.000, 0.500).

The formation energy (no corrections) comes out at 925 meV/atom. Its total energy is -6.86 eV/atom. As for the spin magnetization: 0.00 μB/atom.